No. 1
BaSrNbSb2 PBE relaxed; calculated total energy = -3.36 eV per atom; total magnetic moment = 0.68 μB/atom
1.0
6.211 0.000 0.000
0.000 6.211 0.000
0.000 0.000 5.583
Ba Sr Nb Sb
1 1 1 2
Direct
0.000 0.000 0.000
0.500 0.500 0.500
0.000 0.000 0.500
0.000 0.500 0.000
0.500 0.000 0.000

---

No. 2
Ba2TaNbSb PBE relaxed; calculated total energy = -5.10 eV per atom; total magnetic moment = 0.00 μB/atom
1.0
6.126 0.000 0.000
0.000 6.126 0.000
0.000 0.000 4.871
Ba Ta Nb Sb
2 1 1 1
Direct
0.000 0.500 0.000
0.500 0.000 0.000
0.000 0.000 0.500
0.000 0.000 0.000
0.500 0.500 0.500

---

No. 3
BaNbTlSb2 PBE relaxed; calculated total energy = -3.40 eV per atom; total magnetic moment = 0.78 μB/atom
1.0
5.721 0.000 0.000
0.000 5.721 0.000
0.000 0.000 6.101
Ba Nb Tl Sb
1 1 1 2
Direct
0.000 0.000 0.000
0.500 0.500 0.000
0.000 0.000 0.500
0.000 0.500 0.500
0.500 0.000 0.500

---

No. 4
Ba2NbSbW PBE relaxed; calculated total energy = -4.89 eV per atom; total magnetic moment = 0.94 μB/atom
1.0
6.062 0.000 0.000
0.000 6.062 0.000
0.000 0.000 5.183
Ba Nb Sb W
2 1 1 1
Direct
0.000 0.500 0.000
0.500 0.000 0.000
0.000 0.000 0.500
0.500 0.500 0.500
0.500 0.500 0.000

---

No. 5
Ba2ScNb PBE relaxed; energy above the lowest structure with this stoichiometry = 0.168 eV/atom; calculated total energy = -3.97 eV per atom; total magnetic moment = 0.59 μB/atom; calculated formation energy = 1.09 eV/atom
1.0
-4.701 4.701 3.267
4.701 -4.701 3.267
4.701 4.701 -3.267
Ba Sc Nb
4 2 2
Direct
0.095 0.125 0.470
0.375 0.905 0.030
0.655 0.625 0.530
0.875 0.345 0.970
0.250 0.750 0.500
0.500 0.500 0.000
0.000 0.000 0.000
0.750 0.250 0.500

---

No. 6
BaSc2Nb PBE relaxed; energy above the lowest structure with this stoichiometry = 0.444 eV/atom; calculated total energy = -5.12 eV per atom; total magnetic moment = 0.00 μB/atom; calculated formation energy = 1.04 eV/atom
1.0
-3.363 3.363 7.016
3.363 -3.363 7.016
3.363 3.363 -7.016
Ba Sc Nb
2 4 2
Direct
0.375 0.625 0.750
0.625 0.375 0.250
0.000 0.000 0.000
0.000 0.000 0.500
0.000 0.500 0.000
0.500 0.000 0.500
0.125 0.875 0.250
0.875 0.125 0.750

---

No. 7
BaSc3Nb PBE relaxed; energy above the lowest structure with this stoichiometry = 0.000 eV/atom; calculated total energy = -5.77 eV per atom; total magnetic moment = 0.00 μB/atom; calculated formation energy = 0.43 eV/atom
1.0
5.354 0.000 0.000
0.000 5.354 0.000
0.000 0.000 5.354
Ba Sc Nb
1 3 1
Direct
0.000 0.000 0.000
0.000 0.500 0.500
0.500 0.000 0.500
0.500 0.500 0.000
0.500 0.500 0.500

---

No. 8
BaSc2Nb PBE relaxed; energy above the lowest structure with this stoichiometry = 0.000 eV/atom; calculated total energy = -5.57 eV per atom; total magnetic moment = 0.00 μB/atom; calculated formation energy = 0.60 eV/atom
1.0
0.000 3.726 3.726
3.726 0.000 3.726
3.726 3.726 0.000
Ba Sc Nb
1 2 1
Direct
0.000 0.000 0.000
0.250 0.250 0.250
0.750 0.750 0.750
0.500 0.500 0.500

---

No. 9
BaSc2Nb PBE relaxed; energy above the lowest structure with this stoichiometry = 0.141 eV/atom; calculated total energy = -5.43 eV per atom; total magnetic moment = 0.00 μB/atom; calculated formation energy = 0.74 eV/atom
1.0
1.635 0.944 11.797
-1.635 0.944 11.797
0.000 -1.888 11.797
Ba Sc Nb
1 2 1
Direct
0.000 0.000 0.000
0.425 0.425 0.425
0.575 0.575 0.575
0.500 0.500 0.500

---

No. 10
BaScNb3 PBE relaxed; energy above the lowest structure with this stoichiometry = 0.000 eV/atom; calculated total energy = -6.17 eV per atom; total magnetic moment = 0.22 μB/atom; calculated formation energy = 1.52 eV/atom
1.0
5.087 0.000 0.000
0.000 5.087 0.000
0.000 0.000 5.087
Ba Sc Nb
1 1 3
Direct
0.000 0.000 0.000
0.500 0.500 0.500
0.000 0.500 0.500
0.500 0.000 0.500
0.500 0.500 0.000

---

No. 11
BaSc3Nb PBE relaxed; energy above the lowest structure with this stoichiometry = 1.199 eV/atom; calculated total energy = -4.57 eV per atom; total magnetic moment = 0.00 μB/atom; calculated formation energy = 1.63 eV/atom
1.0
5.165 0.000 0.000
0.000 5.165 0.000
0.000 0.000 5.165
Ba Sc Nb
1 3 1
Direct
0.000 0.000 0.000
0.000 0.000 0.500
0.000 0.500 0.000
0.500 0.000 0.000
0.500 0.500 0.500

---

No. 12
Ba2ScNb PBE relaxed; energy above the lowest structure with this stoichiometry = 0.000 eV/atom; calculated total energy = -4.14 eV per atom; total magnetic moment = 0.48 μB/atom; calculated formation energy = 0.92 eV/atom
1.0
0.000 4.117 4.117
4.117 0.000 4.117
4.117 4.117 0.000
Ba Sc Nb
2 1 1
Direct
0.250 0.250 0.250
0.750 0.750 0.750
0.000 0.000 0.000
0.500 0.500 0.500

---

No. 13
BaSrSc2Nb PBE relaxed; calculated total energy = -4.69 eV per atom; total magnetic moment = 0.00 μB/atom; calculated formation energy = 0.57 eV/atom
1.0
5.373 0.000 0.000
0.000 5.373 0.000
0.000 0.000 6.052
Ba Sr Sc Nb
1 1 2 1
Direct
0.000 0.000 0.000
0.500 0.500 0.000
0.000 0.500 0.500
0.500 0.000 0.500
0.000 0.000 0.500

---

No. 14
BaScTi2Nb PBE relaxed; calculated total energy = -4.96 eV per atom; total magnetic moment = 0.00 μB/atom; calculated formation energy = 1.86 eV/atom
1.0
4.919 0.000 0.000
0.000 4.919 0.000
0.000 0.000 5.107
Ba Sc Ti Nb
1 1 2 1
Direct
0.000 0.000 0.000
0.000 0.000 0.500
0.000 0.500 0.000
0.500 0.000 0.000
0.500 0.500 0.500

---

No. 15
BaSc2NbV PBE relaxed; calculated total energy = -5.48 eV per atom; total magnetic moment = 0.80 μB/atom; calculated formation energy = 1.27 eV/atom
1.0
4.962 0.000 0.000
0.000 4.962 0.000
0.000 0.000 5.694
Ba Sc Nb V
1 2 1 1
Direct
0.000 0.000 0.000
0.000 0.500 0.500
0.500 0.000 0.500
0.500 0.500 0.000
0.000 0.000 0.500

---

No. 16
Ba4Nb3Se12 PBE relaxed; energy above the lowest structure with this stoichiometry = 0.044 eV/atom; calculated total energy = -5.38 eV per atom; total magnetic moment = 0.00 μB/atom
1.0
6.039 0.000 0.000
0.000 6.926 0.000
-0.593 0.000 12.650
Ba Nb Se
4 3 12
Direct
0.228 0.000 0.197
0.270 0.500 0.651
0.730 0.500 0.349
0.772 0.000 0.803
0.000 0.500 0.000
0.500 0.000 0.500
0.500 0.500 0.000
0.232 0.259 0.421
0.232 0.741 0.421
0.243 0.235 0.917
0.243 0.765 0.917
0.266 0.500 0.172
0.281 0.000 0.674
0.719 0.000 0.326
0.734 0.500 0.828
0.757 0.235 0.083
0.757 0.765 0.083
0.768 0.259 0.579
0.768 0.741 0.579

---

No. 17
Ba4Nb3Se12 PBE relaxed; energy above the lowest structure with this stoichiometry = 0.000 eV/atom; calculated total energy = -5.43 eV per atom; total magnetic moment = 0.00 μB/atom
1.0
8.383 -3.429 0.000
8.383 3.429 0.000
-8.062 0.000 9.395
Ba Nb Se
4 3 12
Direct
0.150 0.150 0.015
0.155 0.155 0.521
0.845 0.845 0.479
0.850 0.850 0.985
0.492 0.492 0.772
0.500 0.500 0.500
0.508 0.508 0.228
0.142 0.669 0.793
0.154 0.676 0.299
0.324 0.846 0.701
0.331 0.858 0.207
0.333 0.333 0.988
0.337 0.337 0.482
0.663 0.663 0.518
0.667 0.667 0.012
0.669 0.142 0.793
0.676 0.154 0.299
0.846 0.324 0.701
0.858 0.331 0.207

---

No. 18
BaNb2Se4 PBE relaxed; calculated total energy = -6.14 eV per atom; total magnetic moment = 0.00 μB/atom
1.0
2.140 -6.126 0.000
2.140 6.126 0.000
0.000 0.000 12.960
Ba Nb Se
2 4 8
Direct
0.130 0.870 0.750
0.870 0.130 0.250
0.393 0.607 0.554
0.393 0.607 0.946
0.607 0.393 0.054
0.607 0.393 0.446
0.000 0.000 0.000
0.000 0.000 0.500
0.251 0.749 0.100
0.251 0.749 0.400
0.431 0.569 0.750
0.569 0.431 0.250
0.749 0.251 0.600
0.749 0.251 0.900

---

No. 19
Ba2NbSe2 PBE relaxed; energy above the lowest structure with this stoichiometry = 0.233 eV/atom; calculated total energy = -4.30 eV per atom; total magnetic moment = 0.97 μB/atom
1.0
-3.025 3.025 5.610
3.025 -3.025 5.610
3.025 3.025 -5.610
Ba Nb Se
2 1 2
Direct
0.175 0.175 0.000
0.825 0.825 0.000
0.500 0.500 0.000
0.250 0.750 0.500
0.750 0.250 0.500

---

No. 20
Ba2NbSe4 PBE relaxed; calculated total energy = -5.40 eV per atom; total magnetic moment = 0.15 μB/atom
1.0
7.448 0.000 0.000
0.000 7.103 0.000
-2.903 0.000 8.755
Ba Nb Se
4 2 8
Direct
0.223 0.250 0.051
0.274 0.250 0.571
0.726 0.750 0.429
0.777 0.750 0.949
0.229 0.750 0.799
0.771 0.250 0.201
0.004 0.508 0.264
0.004 0.992 0.264
0.394 0.750 0.076
0.421 0.750 0.624
0.579 0.250 0.376
0.606 0.250 0.924
0.996 0.008 0.736
0.996 0.492 0.736

---

No. 21
BaNbSe3 PBE relaxed; calculated total energy = -5.71 eV per atom; total magnetic moment = 0.00 μB/atom
1.0
9.183 0.000 0.000
0.000 6.609 0.000
-5.520 0.000 9.534
Ba Nb Se
4 4 12
Direct
0.149 0.228 0.160
0.149 0.272 0.660
0.851 0.728 0.340
0.851 0.772 0.840
0.432 0.708 0.430
0.432 0.792 0.930
0.568 0.208 0.070
0.568 0.292 0.570
0.131 0.702 0.223
0.131 0.798 0.723
0.311 0.070 0.478
0.311 0.430 0.978
0.445 0.576 0.649
0.445 0.924 0.149
0.555 0.076 0.851
0.555 0.424 0.351
0.689 0.570 0.022
0.689 0.930 0.522
0.869 0.202 0.277
0.869 0.298 0.777

---

No. 22
Ba2NbSe2 PBE relaxed; energy above the lowest structure with this stoichiometry = 0.000 eV/atom; calculated total energy = -4.54 eV per atom; total magnetic moment = 0.98 μB/atom
1.0
9.094 0.000 0.000
0.000 9.094 0.000
0.000 0.000 4.051
Ba Nb Se
4 2 4
Direct
0.144 0.356 0.000
0.356 0.856 0.000
0.644 0.144 0.000
0.856 0.644 0.000
0.000 0.000 0.000
0.500 0.500 0.000
0.159 0.659 0.500
0.341 0.159 0.500
0.659 0.841 0.500
0.841 0.341 0.500

---

No. 23
BaNb4Se8 PBE relaxed; energy above the lowest structure with this stoichiometry = 0.093 eV/atom; calculated total energy = -6.21 eV per atom; total magnetic moment = 0.00 μB/atom
1.0
0.000 5.508 5.508
5.508 0.000 5.508
5.508 5.508 0.000
Ba Nb Se
1 4 8
Direct
0.000 0.000 0.000
0.396 0.396 0.396
0.396 0.396 0.812
0.396 0.812 0.396
0.812 0.396 0.396
0.114 0.629 0.629
0.151 0.151 0.151
0.151 0.151 0.547
0.151 0.547 0.151
0.547 0.151 0.151
0.629 0.114 0.629
0.629 0.629 0.114
0.629 0.629 0.629

---

No. 24
BaNb4Se8 PBE relaxed; energy above the lowest structure with this stoichiometry = 0.000 eV/atom; calculated total energy = -6.30 eV per atom; total magnetic moment = 0.00 μB/atom
1.0
8.712 -1.793 0.000
8.712 1.793 0.000
-7.878 0.000 9.458
Ba Nb Se
1 4 8
Direct
0.000 0.000 0.000
0.157 0.157 0.474
0.319 0.319 0.135
0.681 0.681 0.865
0.843 0.843 0.526
0.038 0.038 0.751
0.308 0.308 0.915
0.346 0.346 0.688
0.377 0.377 0.407
0.623 0.623 0.593
0.654 0.654 0.312
0.692 0.692 0.085
0.962 0.962 0.249